# 1
Density functional theory data (PBE) for crystalline NdCrFe4 at its relaxed geometry.

Output
* magnetic moment: 1.9501 μB per atom
* volume: 89.4 Å³ per cell
* space-group type: F-43m (216)
* formation energy: 1.8 eV/f.u.
* E_tot: -7.73 eV per atom

a = 5.0199 Å, b = 5.0199 Å, c = 5.0199 Å
α = 60.00°, β = 60.00°, γ = 60.00°
Element x y z (fractional)
Nd1 0.0000 0.0000 0.0000
Cr1 0.7500 0.7500 0.7500
Fe1 0.3765 0.3765 0.3765
Fe2 0.3765 0.3765 0.8704
Fe3 0.3765 0.8704 0.3765
Fe4 0.8704 0.3765 0.3765

# 2
Density functional theory data (PBE) for crystalline Tb2Pm3UN6 at its relaxed geometry.

Output
* magnetic moment: 0.0093 μB per atom
* volume: 186.7 Å³ per cell
* space-group type: C2/m (12)
* formation energy without anion corrections: -1.56 eV per atom
* E_tot: -8.62 eV per atom

a = 6.0965 Å, b = 6.0965 Å, c = 6.1423 Å
α = 99.53°, β = 99.53°, γ = 119.94°
Element x y z (fractional)
Tb1 0.1663 0.8337 0.0000
Tb2 0.8337 0.1663 0.0000
Pm1 0.0000 0.0000 0.5000
Pm2 0.3322 0.6678 0.5000
Pm3 0.6678 0.3322 0.5000
U1 0.5000 0.5000 0.0000
N1 0.1147 0.4245 0.7736
N2 0.2655 0.2655 0.2272
N3 0.4245 0.1147 0.7736
N4 0.5755 0.8853 0.2264
N5 0.7345 0.7345 0.7728
N6 0.8853 0.5755 0.2264

# 3
Density functional theory data (PBE) for crystalline Bi2SbHPd6 at its relaxed geometry.

Output
* magnetic moment: 0.0000 μB per atom
* volume: 179.0 Å³ per cell
* space-group type: P-1 (2)
* E_tot: -4.87 eV per atom

a = 5.6255 Å, b = 5.8728 Å, c = 6.8957 Å
α = 92.26°, β = 112.10°, γ = 118.36°
Element x y z (fractional)
Bi1 0.0110 0.2538 0.2111
Bi2 0.9890 0.7462 0.7889
Sb1 0.5000 0.5000 0.0000
H1 0.5000 0.0000 0.5000
Pd1 0.0959 0.7883 0.2424
Pd2 0.3406 0.1583 0.6436
Pd3 0.3666 0.6633 0.6327
Pd4 0.6334 0.3367 0.3673
Pd5 0.6594 0.8417 0.3564
Pd6 0.9041 0.2117 0.7576

# 4
Density functional theory data (PBE) for crystalline OsPbBr at its relaxed geometry.

Output
* magnetic moment: 0.0005 μB per atom
* volume: 69.9 Å³ per cell
* space-group type: F-43m (216)
* formation energy without anion corrections: 0.95 eV per atom
* energy above the most stable polymorph in this dataset: 0.091 eV/atom
* E_tot: -4.59 eV per atom

a = 4.6233 Å, b = 4.6233 Å, c = 4.6233 Å
α = 60.00°, β = 60.00°, γ = 60.00°
Element x y z (fractional)
Os1 0.0000 0.0000 0.0000
Pb1 0.2500 0.2500 0.2500
Br1 0.7500 0.7500 0.7500

# 5
Density functional theory data (PBE) for crystalline Dy2Y2Pd3 at its relaxed geometry.

Output
* magnetic moment: 0.0000 μB per atom
* volume: 190.4 Å³ per cell
* space-group type: P-1 (2)
* formation energy: -4.3 eV/f.u.
* E_tot: -6.00 eV per atom

a = 4.1464 Å, b = 6.9041 Å, c = 7.0679 Å
α = 99.28°, β = 90.16°, γ = 107.26°
Element x y z (fractional)
Dy1 0.1246 0.2531 0.3879
Dy2 0.8754 0.7469 0.6121
Y1 0.3640 0.7381 0.1324
Y2 0.6360 0.2619 0.8676
Pd1 0.2592 0.5107 0.7537
Pd2 0.5000 0.0000 0.5000
Pd3 0.7408 0.4893 0.2463

# 6
Density functional theory data (PBE) for crystalline LiTc2Os at its relaxed geometry.

Output
* magnetic moment: 0.0000 μB per atom
* volume: 55.2 Å³ per cell
* space-group type: Fm-3m (225)
* formation energy: 0.9 eV/f.u.
* energy above the most stable polymorph in this dataset: 0.065 eV/atom
* E_tot: -8.24 eV per atom

a = 4.2747 Å, b = 4.2747 Å, c = 4.2747 Å
α = 60.00°, β = 60.00°, γ = 60.00°
Element x y z (fractional)
Li1 0.0000 0.0000 0.0000
Tc1 0.2500 0.2500 0.2500
Tc2 0.7500 0.7500 0.7500
Os1 0.5000 0.5000 0.5000